#one
DFT (PBE-GGA) results for CuAg4 after structural relaxation.

Properties
**Calculated volume**: 83.9 Å³ per cell
**Symmetry**: I4/mmm, No. 139
**Crystal system**: tetragonal

Lattice parameters (Å, degrees): 10.2059 10.2059 10.2059 163.69 163.69 23.15
Last column: nearest neighbours and their distance in Å.
Positions (direct):
Cu  0.0000  0.0000  0.0000  8 Ag 2.74, 4 Cu 2.90
Ag  0.1973  0.1973  0.0000  12 Ag 2.90-2.96
Ag  0.4093  0.4093  0.0000  4 Cu 2.74, 8 Ag 2.90-2.96
Ag  0.5907  0.5907  0.0000  4 Cu 2.74, 8 Ag 2.90-2.96
Ag  0.8027  0.8027  0.0000  12 Ag 2.90-2.96

***

#two
DFT (PBE-GGA) results for CuAg4 after structural relaxation.

Properties
**Calculated volume**: 168.8 Å³ per cell
**Symmetry**: C2/c, No. 15
**Crystal system**: monoclinic

Lattice parameters (Å, degrees): 7.6060 7.6060 4.9928 96.21 96.21 141.74
Last column: nearest neighbours and their distance in Å.
Positions (direct):
Cu  0.1499  0.8501  0.7500  12 Ag 2.83-2.89
Cu  0.8501  0.1499  0.2500  12 Ag 2.83-2.89
Ag  0.0500  0.9500  0.2500  9 Ag 2.87-2.90, 3 Cu 2.87-2.88
Ag  0.2496  0.7504  0.2500  8 Ag 2.84-2.89, 4 Cu 2.88
Ag  0.3468  0.6532  0.7500  3 Cu 2.83-2.89, 9 Ag 2.85-2.96
Ag  0.4470  0.5530  0.2500  10 Ag 2.84-2.96, 2 Cu 2.86
Ag  0.5530  0.4470  0.7500  10 Ag 2.84-2.96, 2 Cu 2.86
Ag  0.6532  0.3468  0.2500  3 Cu 2.83-2.89, 9 Ag 2.85-2.96
Ag  0.7504  0.2496  0.7500  8 Ag 2.84-2.89, 4 Cu 2.88
Ag  0.9500  0.0500  0.7500  9 Ag 2.87-2.90, 3 Cu 2.87-2.88

***

Most stable: #one

***

#one
DFT (PBE-GGA) results for CuAg4 after structural relaxation.

Properties
**Calculated volume**: 168.9 Å³ per cell
**Symmetry**: Pmmm, No. 47
**Crystal system**: orthorhombic

Lattice parameters (Å, degrees): 2.9028 4.0207 14.4717 90.00 90.00 90.00
Last column: nearest neighbours and their distance in Å.
Positions (direct):
Cu  0.0000  0.0000  0.0930  3 Cu 2.69-2.90, 9 Ag 2.82-2.87
Cu  0.0000  0.0000  0.9070  3 Cu 2.69-2.90, 9 Ag 2.82-2.87
Ag  0.0000  0.0000  0.2916  1 Cu 2.87, 11 Ag 2.88-3.02
Ag  0.0000  0.0000  0.5000  12 Ag 2.90-3.02
Ag  0.0000  0.0000  0.7084  1 Cu 2.87, 11 Ag 2.88-3.02
Ag  0.5000  0.5000  0.0000  4 Ag 2.75-2.90, 8 Cu 2.82
Ag  0.5000  0.5000  0.1898  8 Ag 2.75-2.99, 4 Cu 2.85
Ag  0.5000  0.5000  0.3963  12 Ag 2.90-3.00
Ag  0.5000  0.5000  0.6037  12 Ag 2.90-3.00
Ag  0.5000  0.5000  0.8102  8 Ag 2.75-2.99, 4 Cu 2.85

***

#two
DFT (PBE-GGA) results for CuAg4 after structural relaxation.

Properties
**Calculated volume**: 167.0 Å³ per cell
**Symmetry**: C2/m, No. 12
**Crystal system**: monoclinic

Lattice parameters (Å, degrees): 4.9843 4.9843 8.9943 90.93 90.93 48.36
Last column: nearest neighbours and their distance in Å.
Positions (direct):
Cu  0.1412  0.1412  0.0469  3 Cu 2.69-2.98, 9 Ag 2.71-2.91
Cu  0.8588  0.8588  0.9531  3 Cu 2.69-2.98, 9 Ag 2.71-2.91
Ag  0.0433  0.0433  0.3411  1 Cu 2.81, 11 Ag 2.88-2.98
Ag  0.2636  0.2636  0.7678  3 Cu 2.76, 9 Ag 2.86-2.99
Ag  0.3475  0.3475  0.4488  12 Ag 2.87-2.99
Ag  0.4333  0.4333  0.1372  5 Cu 2.71-2.91, 7 Ag 2.77-2.92
Ag  0.5667  0.5667  0.8628  5 Cu 2.71-2.91, 7 Ag 2.77-2.92
Ag  0.6525  0.6525  0.5512  12 Ag 2.87-2.99
Ag  0.7364  0.7364  0.2322  3 Cu 2.76, 9 Ag 2.86-2.99
Ag  0.9567  0.9567  0.6589  1 Cu 2.81, 11 Ag 2.88-2.98

***

Most stable: #two

***

#one
DFT (PBE-GGA) results for PtPbSO after structural relaxation.

Properties
**Calculated volume**: 693.3 Å³ per cell
**Symmetry**: Pbca, No. 61
**Crystal system**: orthorhombic

Lattice parameters (Å, degrees): 6.2755 17.0921 6.4638 90.00 90.00 90.00
Last column: nearest neighbours and their distance in Å.
Positions (direct):
Pt  0.2498  0.0394  0.0082  4 S 2.35-2.37
Pt  0.2498  0.4606  0.5082  4 S 2.35-2.37
Pt  0.2502  0.5394  0.0082  4 S 2.35-2.37
Pt  0.2502  0.9606  0.5082  4 S 2.35-2.37
Pt  0.7498  0.0394  0.4918  4 S 2.35-2.37
Pt  0.7498  0.4606  0.9918  4 S 2.35-2.37
Pt  0.7502  0.5394  0.4918  4 S 2.35-2.37
Pt  0.7502  0.9606  0.9918  4 S 2.35-2.37
Pb  0.1552  0.1840  0.4297  3 O 2.25-2.31
Pb  0.1552  0.3160  0.9297  3 O 2.25-2.31
Pb  0.3448  0.6840  0.4297  3 O 2.25-2.31
Pb  0.3448  0.8160  0.9297  3 O 2.25-2.31
Pb  0.6552  0.1840  0.0703  3 O 2.25-2.31
Pb  0.6552  0.3160  0.5703  3 O 2.25-2.31
Pb  0.8448  0.6840  0.0703  3 O 2.25-2.31
Pb  0.8448  0.8160  0.5703  3 O 2.25-2.31
S  0.0004  0.0066  0.7515  4 Pt 2.35-2.37
S  0.0004  0.4934  0.2515  4 Pt 2.35-2.37
S  0.9996  0.5066  0.7485  4 Pt 2.35-2.37
S  0.9996  0.9934  0.2485  4 Pt 2.35-2.37
S  0.5004  0.0066  0.7485  4 Pt 2.35-2.37
S  0.5004  0.4934  0.2485  4 Pt 2.35-2.37
S  0.4996  0.5066  0.7515  4 Pt 2.35-2.37
S  0.4996  0.9934  0.2515  4 Pt 2.35-2.37
O  0.1755  0.7346  0.1492  3 Pb 2.25-2.31
O  0.1755  0.7654  0.6492  3 Pb 2.25-2.31
O  0.3245  0.2346  0.1492  3 Pb 2.25-2.31
O  0.3245  0.2654  0.6492  3 Pb 2.25-2.31
O  0.6755  0.7346  0.3508  3 Pb 2.25-2.31
O  0.6755  0.7654  0.8508  3 Pb 2.25-2.31
O  0.8245  0.2346  0.3508  3 Pb 2.25-2.31
O  0.8245  0.2654  0.8508  3 Pb 2.25-2.31

***

#two
DFT (PBE-GGA) results for PtPbSO after structural relaxation.

Properties
**Calculated volume**: 342.6 Å³ per cell
**Symmetry**: Pca2_1, No. 29
**Crystal system**: orthorhombic

Lattice parameters (Å, degrees): 6.9605 8.3011 5.9297 90.00 90.00 90.00
Last column: nearest neighbours and their distance in Å.
Positions (direct):
Pt  0.2331  0.1629  0.0000  2 O 2.08-2.10, 1 S 2.31
Pt  0.2669  0.1629  0.5000  2 O 2.08-2.10, 1 S 2.31
Pt  0.7331  0.8371  0.0000  2 O 2.08-2.10, 1 S 2.31
Pt  0.7669  0.8371  0.5000  2 O 2.08-2.10, 1 S 2.31
Pb  0.0974  0.7412  0.7811  1 O 2.23
Pb  0.4026  0.7412  0.2811  1 O 2.23
Pb  0.5974  0.2588  0.7811  1 O 2.23
Pb  0.9026  0.2588  0.2811  1 O 2.23
S  0.1115  0.3438  0.7401  2 Pt 2.31-2.34
S  0.3885  0.3438  0.2401  2 Pt 2.31-2.34
S  0.6115  0.6562  0.7401  2 Pt 2.31-2.34
S  0.8885  0.6562  0.2401  2 Pt 2.31-2.34
O  0.1601  0.0031  0.7449  2 Pt 2.08-2.10, 1 Pb 2.23
O  0.3399  0.0031  0.2449  2 Pt 2.08-2.10, 1 Pb 2.23
O  0.6601  0.9969  0.7449  2 Pt 2.08-2.10, 1 Pb 2.23
O  0.8399  0.9969  0.2449  2 Pt 2.08-2.10, 1 Pb 2.23

***

Most stable: #one

***

#one
DFT (PBE-GGA) results for TaPtNO after structural relaxation.

Properties
**Calculated volume**: 196.7 Å³ per cell
**Symmetry**: Pca2_1, No. 29
**Crystal system**: orthorhombic

Lattice parameters (Å, degrees): 5.0573 7.3672 5.2792 90.00 90.00 90.00
Last column: nearest neighbours and their distance in Å.
Positions (direct):
Ta  0.0164  0.1791  0.0000  2 N 2.03-2.07, 3 O 2.04-2.19
Ta  0.4836  0.1791  0.5000  2 N 2.03-2.07, 3 O 2.04-2.19
Ta  0.5164  0.8209  0.0000  2 N 2.03-2.07, 3 O 2.04-2.19
Ta  0.9836  0.8209  0.5000  2 N 2.03-2.07, 3 O 2.04-2.19
Pt  0.1209  0.4475  0.3118  2 N 2.05-2.22
Pt  0.3791  0.4475  0.8118  2 N 2.05-2.22
Pt  0.6209  0.5525  0.3118  2 N 2.05-2.22
Pt  0.8791  0.5525  0.8118  2 N 2.05-2.22
N  0.1991  0.7217  0.7927  2 Ta 2.03-2.07, 2 Pt 2.05-2.22
N  0.3009  0.7217  0.2927  2 Ta 2.03-2.07, 2 Pt 2.05-2.22
N  0.6991  0.2783  0.7927  2 Ta 2.03-2.07, 2 Pt 2.05-2.22
N  0.8009  0.2783  0.2927  2 Ta 2.03-2.07, 2 Pt 2.05-2.22
O  0.1312  0.0592  0.6375  3 Ta 2.04-2.19
O  0.3688  0.0592  0.1375  3 Ta 2.04-2.19
O  0.6312  0.9408  0.6375  3 Ta 2.04-2.19
O  0.8688  0.9408  0.1375  3 Ta 2.04-2.19

***

#two
DFT (PBE-GGA) results for TaPtNO after structural relaxation.

Properties
**Calculated volume**: 98.7 Å³ per cell
**Symmetry**: P4/nmm, No. 129
**Crystal system**: tetragonal

Lattice parameters (Å, degrees): 4.1670 4.1670 5.6843 90.00 90.00 90.00
Last column: nearest neighbours and their distance in Å.
Positions (direct):
Ta  0.2500  0.7500  0.0000  4 N 2.11
Ta  0.7500  0.2500  0.0000  4 N 2.11
Pt  0.2500  0.2500  0.3270  1 N 2.19, 4 O 2.30
Pt  0.7500  0.7500  0.6730  1 N 2.19, 4 O 2.30
N  0.2500  0.2500  0.9409  4 Ta 2.11, 1 Pt 2.19
N  0.7500  0.7500  0.0591  4 Ta 2.11, 1 Pt 2.19
O  0.2500  0.7500  0.5000  4 Pt 2.30
O  0.7500  0.2500  0.5000  4 Pt 2.30

***

Most stable: #one